Mn2FeTc: optimized geometry, PBE-GGA.

a b c (Å): 2.528 2.528 7.997
angles (deg): 90.00 90.00 105.97
Last column: magnetic moment on the atom in μB.
Positions (direct):
Mn (0.500, 0.500, 0.237)  1.50
Mn (0.000, 0.000, 0.005)  1.05
Fe (0.500, 0.500, 0.762)  2.36
Tc (0.000, 0.000, 0.496)  -0.04

Energy of formation   183 meV per atom
DOS at the Fermi energy   5.7 states/eV per cell
Space group   Cmm2

***

Tl2Cd7In3: optimized geometry, PBE-GGA.

a b c (Å): 3.304 5.042 19.086
angles (deg): 91.65 90.00 90.00
Positions (direct):
Tl (0.500, 0.717, 0.290)
Tl (0.500, 0.283, 0.710)
Cd (0.000, 0.730, 0.142)
Cd (0.500, 0.256, 0.542)
Cd (0.000, 0.270, 0.858)
Cd (0.500, 0.772, 0.847)
Cd (0.500, 0.744, 0.458)
Cd (0.500, 0.228, 0.153)
Cd (0.000, 0.000, 0.000)
In (0.000, 0.770, 0.617)
In (0.500, 0.500, 0.000)
In (0.000, 0.230, 0.383)

Energy of formation   57 meV per atom
DOS at the Fermi energy   4.4 states/eV per cell
Space group   P2/m

***

Pr4Ga12Os: optimized geometry, PBE-GGA.

a b c (Å): 7.647 7.647 7.647
angles (deg): 109.47 109.47 109.47
Positions (direct):
Pr (0.500, 0.500, 0.500)
Pr (0.000, 0.500, 0.000)
Pr (0.000, 0.000, 0.500)
Pr (0.500, 0.000, 0.000)
Ga (0.000, 0.711, 0.711)
Ga (0.250, 0.500, 0.750)
Ga (0.500, 0.250, 0.750)
Ga (0.750, 0.250, 0.500)
Ga (0.289, 0.000, 0.289)
Ga (0.289, 0.289, 0.000)
Ga (0.500, 0.750, 0.250)
Ga (0.711, 0.000, 0.711)
Ga (0.250, 0.750, 0.500)
Ga (0.711, 0.711, 0.000)
Ga (0.750, 0.500, 0.250)
Ga (0.000, 0.289, 0.289)
Os (0.000, 0.000, 0.000)

Energy of formation   -536 meV per atom
DOS at the Fermi energy   13.3 states/eV per cell
Space group   Im-3m

***

Let's list M_tot in order: 4.9, 0.0, 0.0 μB/f.u..